Entry a
DFT (PBE) results for a relaxed Li4Cd2Au3 crystal.

* ρ: 9.14 g cm⁻³
* magnetic moment: 0.000 μB/atom
* space group: P-1

Structure (POSCAR):
```
Li4Cd2Au3
1.0
4.1715 -0.0083 0.0101
2.0777 4.3979 0.6957
0.0154 0.8499 8.4749
Li Cd Au
4 2 3
Cartesian
4.1797 3.7311 8.0094
2.0824 4.5646 3.6196
4.1823 0.6749 5.5611
2.0850 1.5084 1.1713
2.0916 2.1833 6.8488
4.1730 3.0562 2.3319
2.0875 1.7817 3.9046
0.0000 0.0000 0.0000
4.1771 3.4578 5.2761
```

---

Entry b
DFT (PBE) results for a relaxed Li4Cd2Au3 crystal.

* ρ: 9.06 g cm⁻³
* magnetic moment: 0.000 μB/atom
* space group: C2/m

Structure (POSCAR):
```
Li4Cd2Au3
1.0
4.0104 0.0000 0.0000
0.0000 6.4422 0.4335
-2.0052 -2.5861 5.8076
Li Cd Au
4 2 3
Cartesian
2.0052 1.9201 0.6645
2.0052 2.8028 3.5069
0.0000 1.9361 5.5766
0.0000 1.0534 2.7341
0.0000 4.6378 4.3373
2.0052 -0.7816 1.9038
2.0052 0.2979 4.6139
0.0000 3.5583 1.6272
0.0000 0.0000 0.0000
```

---

Top of the stability list: entry a, leading by 1.7 kJ/mol of atoms.

---

Entry a
DFT (PBE) results for a relaxed Li2Cd2Au crystal.

* ρ: 7.93 g cm⁻³
* magnetic moment: 0.000 μB/atom
* space group: P4/mbm

Structure (POSCAR):
```
Li2Cd2Au
1.0
-0.4514 -7.3586 1.5411
7.4100 -0.1745 1.3371
-0.5426 0.6817 3.0961
Li Au Cd
4 2 4
Cartesian
4.5724 -0.9791 2.6876
5.6266 -4.6885 3.6891
1.8436 -5.8722 3.2868
0.7894 -2.1628 2.2852
0.0000 0.0000 0.0000
3.4793 -3.7665 1.4391
6.2274 -2.8178 1.7119
4.3348 -6.4578 2.1816
0.7313 -4.7152 1.1664
2.6239 -1.0752 0.6966
```

---

Entry b
DFT (PBE) results for a relaxed Li2Cd2Au crystal.

* ρ: 7.35 g cm⁻³
* magnetic moment: 0.000 μB/atom
* space group: I4/mmm

Structure (POSCAR):
```
Li2Cd2Au
1.0
3.6696 0.0000 0.0000
0.0000 3.6696 0.0000
1.8348 1.8348 7.3121
Li Au Cd
2 1 2
Cartesian
3.6696 1.8348 3.6561
1.8348 3.6696 3.6561
0.0000 0.0000 0.0000
1.8348 1.8348 1.5110
3.6696 3.6696 5.8011
```

---

Entry c
DFT (PBE) results for a relaxed Li2Cd2Au crystal.

* ρ: 7.89 g cm⁻³
* magnetic moment: 0.000 μB/atom
* space group: P4/mbm

Structure (POSCAR):
```
Li2Cd2Au
1.0
-2.9716 -4.4680 3.8769
5.0490 0.3449 4.2676
-1.9478 3.0791 2.0556
Li Au Cd
4 2 4
Cartesian
3.2730 -1.3131 5.0682
0.6735 -3.6232 6.0653
-1.1956 -2.8100 3.0763
1.4040 -0.4999 2.0792
0.0000 0.0000 0.0000
1.0387 -2.0615 4.0722
1.8943 1.0300 4.5087
1.2627 -1.1457 7.1692
-1.7646 -2.0740 5.6913
-1.1330 0.1016 3.0309
```

---

Top of the stability list: entry c, leading by 0.8 kJ/mol of atoms.

---

Entry a
DFT (PBE) results for a relaxed Li2Cd2Au crystal.

* ρ: 7.19 g cm⁻³
* magnetic moment: 0.000 μB/atom
* space group: Ibam

Structure (POSCAR):
```
Li2Cd2Au
1.0
5.4257 0.0000 0.0000
0.0000 5.6658 0.0000
-2.7129 -2.8329 6.5426
Li Cd Au
4 4 2
Cartesian
0.0000 0.8344 4.2544
2.7129 1.9985 2.2882
0.0000 3.6673 2.2882
2.7129 -0.8344 4.2544
2.7129 2.1220 5.1198
0.0000 0.7109 1.4228
2.7129 4.9549 1.4228
0.0000 -2.1220 5.1198
4.0693 2.8329 0.0000
1.3564 2.8329 0.0000
```

---

Entry b
DFT (PBE) results for a relaxed Li2Cd2Au crystal.

* ρ: 7.96 g cm⁻³
* magnetic moment: 0.000 μB/atom
* space group: C2/m

Structure (POSCAR):
```
Li2Cd2Au
1.0
4.3107 0.0155 1.9083
1.7600 3.9350 1.9083
0.2125 0.1383 5.5026
Li Cd Au
2 2 1
Cartesian
2.1613 2.8013 3.9656
4.1219 1.2875 5.3536
2.8077 0.4323 2.4220
3.4755 3.6565 6.8972
0.8800 1.9675 0.9541
```

---

Top of the stability list: entry b, leading by 9.3 kJ/mol of atoms.

---

Entry a
DFT (PBE) results for a relaxed LiCd2Au crystal.

* ρ: 8.17 g cm⁻³
* magnetic moment: 0.000 μB/atom
* space group: I-42d

Structure (POSCAR):
```
LiCd2Au
1.0
-4.8623 5.7325 -2.2924
-0.6471 -3.3751 -7.0675
-4.9597 -0.3239 -3.7605
Li Au Cd
2 2 4
Cartesian
-2.7547 1.1787 -4.6799
-4.1808 -1.2601 -7.7540
0.0000 0.0000 0.0000
-6.2884 3.2937 -5.3664
-4.4218 3.1532 -3.2855
-2.1901 -1.5470 -5.6146
-5.7776 0.6842 -6.2401
-8.5488 1.7768 -11.1005
```

---

Entry b
DFT (PBE) results for a relaxed LiCd2Au crystal.

* ρ: 9.49 g cm⁻³
* magnetic moment: 0.000 μB/atom
* space group: P4/mmm

Structure (POSCAR):
```
LiCd2Au
1.0
-0.3742 1.9858 -2.7641
-1.6575 -2.5350 -1.5969
-5.5545 2.1741 2.3140
Li Au Cd
1 1 2
Cartesian
-2.4045 0.2689 -1.6020
-5.1817 1.3560 -0.4450
-0.0570 0.0223 0.0237
-2.7203 1.0647 1.1333
```

---

Entry c
DFT (PBE) results for a relaxed LiCd2Au crystal.

* ρ: 9.37 g cm⁻³
* magnetic moment: 0.000 μB/atom
* space group: C2/m

Structure (POSCAR):
```
LiCd2Au
1.0
5.0639 0.0462 -0.0688
4.1730 2.8691 -0.0688
0.7529 0.2376 5.2886
Li Au Cd
1 1 2
Cartesian
7.4923 2.3647 3.8633
2.4974 0.7882 1.2878
9.9700 3.1467 5.1399
5.0146 1.5827 2.5866
```

---

Entry d
DFT (PBE) results for a relaxed LiCd2Au crystal.

* ρ: 9.49 g cm⁻³
* magnetic moment: 0.000 μB/atom
* space group: F-43m

Structure (POSCAR):
```
LiCd2Au
1.0
-3.7601 1.6448 2.3579
-1.2582 -1.9676 4.1170
0.6002 2.3849 4.0442
Li Au Cd
1 1 2
Cartesian
-3.3136 1.5466 7.8893
-2.2090 1.0311 5.2595
0.0000 0.0000 0.0000
-1.1045 0.5155 2.6298
```

---

Top of the stability list: entry d, leading by 1.6 kJ/mol of atoms.

---

Entry a
DFT (PBE) results for a relaxed LiCd2Au crystal.

* ρ: 9.40 g cm⁻³
* magnetic moment: 0.000 μB/atom
* space group: P2/m

Structure (POSCAR):
```
LiCd2Au
1.0
-3.3781 -2.3062 -2.3724
-1.0313 -1.1129 2.5504
-3.5629 3.9490 1.2345
Au Cd Li
1 2 1
Cartesian
-5.1347 0.9740 1.6525
-0.0157 0.0145 0.0083
-2.2814 1.4035 1.8842
-2.8376 -0.4441 -0.2400
```

---

Entry b
DFT (PBE) results for a relaxed LiCd2Au crystal.

* ρ: 9.48 g cm⁻³
* magnetic moment: 0.000 μB/atom
* space group: I-4m2

Structure (POSCAR):
```
LiCd2Au
1.0
-3.2296 -2.7142 -2.9042
0.1033 -4.9155 -1.4348
-2.6360 -2.5357 2.1803
Li Au Cd
1 1 2
Cartesian
-2.8815 -5.0842 -1.0808
-1.4405 -2.5411 -0.5395
-3.1262 -7.6290 -4.3381
-4.3216 -7.6237 -1.6188
```

---

Entry c
DFT (PBE) results for a relaxed LiCd2Au crystal.

* ρ: 9.55 g cm⁻³
* magnetic moment: 0.000 μB/atom
* space group: Fm-3m

Structure (POSCAR):
```
LiCd2Au
1.0
1.6554 -2.7735 3.4464
-1.4468 0.6440 4.4499
-2.8370 -3.1755 2.0439
Li Au Cd
1 1 2
Cartesian
0.0000 0.0000 0.0000
-1.3142 -2.6525 4.9701
-0.6571 -1.3262 2.4851
-1.9713 -3.9787 7.4552
```

---

Entry d
DFT (PBE) results for a relaxed LiCd2Au crystal.

* ρ: 9.44 g cm⁻³
* magnetic moment: 0.000 μB/atom
* space group: P4/mmm

Structure (POSCAR):
```
LiCd2Au
1.0
-2.5085 -1.3485 3.1884
-0.5786 -3.7187 -2.0280
3.2960 -1.5658 1.9309
Li Au Cd
1 1 2
Cartesian
0.3938 -1.4572 2.5597
1.3587 -2.6423 -0.0486
0.0000 0.0000 0.0000
-1.5435 -2.5336 0.5802
```

---

Top of the stability list: entry c, leading by 2.6 kJ/mol of atoms.

---

Entry a
DFT (PBE) results for a relaxed LiCd2Au crystal.

* ρ: 9.47 g cm⁻³
* magnetic moment: 0.000 μB/atom
* space group: P4mm

Structure (POSCAR):
```
LiCd2Au
1.0
-1.8622 0.6508 -2.7255
1.3955 -2.6224 -1.5797
-4.7971 -3.9579 2.3327
Li Au Cd
1 1 2
Cartesian
-2.5248 -2.0831 1.2277
-3.6681 -3.8197 -0.4824
-4.7085 -3.8849 2.2896
-1.5580 -2.0787 -1.5085
```

---

Entry b
DFT (PBE) results for a relaxed LiCd2Au crystal.

* ρ: 9.24 g cm⁻³
* magnetic moment: 0.000 μB/atom
* space group: R-3m

Structure (POSCAR):
```
LiCd2Au
1.0
-7.8500 -5.8354 -1.3600
-5.6978 -7.7142 -2.3561
-6.3232 -7.5618 0.6002
Au Cd Li
1 2 1
Cartesian
-14.9032 -15.8336 -2.3370
-19.8431 -21.0819 -3.1116
-9.9633 -10.5853 -1.5624
-4.9677 -5.2779 -0.7790
```

---

Entry c
DFT (PBE) results for a relaxed LiCd2Au crystal.

* ρ: 9.32 g cm⁻³
* magnetic moment: 0.000 μB/atom
* space group: C2/m

Structure (POSCAR):
```
LiCd2Au
1.0
-2.6437 -4.8259 -0.7703
5.2905 0.3329 -1.6647
1.3267 -1.6809 2.0734
Au Cd Li
1 2 1
Cartesian
3.3086 -0.6740 0.2043
0.0000 0.0000 0.0000
1.3234 -2.2465 -1.2175
-0.6585 -3.2534 0.6515
```

---

Top of the stability list: entry a, leading by 5.1 kJ/mol of atoms.

---

Entry a
DFT (PBE) results for a relaxed LiCd2Au6 crystal.

* ρ: 12.14 g cm⁻³
* magnetic moment: 0.000 μB/atom
* space group: Immm

Structure (POSCAR):
```
LiCd2Au6
1.0
3.9639 0.0000 -0.1451
0.0000 8.3500 0.0000
-1.7682 -4.1750 5.9043
Li Cd Au
1 2 6
Cartesian
0.0000 0.0000 0.0000
2.0526 4.1750 1.8538
0.1431 0.0000 3.9054
0.0702 2.0534 1.9172
2.1256 -2.1216 3.8420
2.1256 2.1216 3.8420
1.9819 1.9987 -0.0725
0.0702 6.2966 1.9172
1.9819 6.3514 -0.0725
```

---

Entry b
DFT (PBE) results for a relaxed LiCd2Au6 crystal.

* ρ: 14.38 g cm⁻³
* magnetic moment: 0.000 μB/atom
* space group: P4_2/mnm

Structure (POSCAR):
```
LiCd2Au6
1.0
4.2362 0.0000 -0.0003
0.0000 8.7798 0.0000
0.0006 0.0000 8.7798
Li Cd Au
2 4 12
Cartesian
2.1181 4.3899 -0.0002
0.0003 0.0000 4.3899
0.0007 2.8957 7.2852
2.1183 7.2856 5.8844
2.1185 1.4942 2.8951
4.2361 5.8840 1.4943
0.0001 0.0191 1.5111
4.2362 5.9011 4.4091
4.2365 5.7641 7.4056
2.1188 1.3742 5.7636
2.1190 1.5112 8.7601
2.1183 4.4090 2.8786
0.0005 8.7607 7.2687
0.0006 2.8787 4.3704
0.0004 3.0156 1.3738
2.1180 7.4055 3.0159
2.1178 7.2685 0.0194
2.1185 4.3708 5.9009
```

---

Top of the stability list: entry b, leading by 8.0 kJ/mol of atoms.

---

Entry a
DFT (PBE) results for a relaxed Li12CdAu6 crystal.

* ρ: 6.96 g cm⁻³
* magnetic moment: 0.000 μB/atom
* space group: R-3

Structure (POSCAR):
```
Li12CdAu6
1.0
-6.6898 -0.7749 1.5137
1.2372 -6.5606 1.7531
1.3041 2.0542 6.4595
Li Cd Au
12 1 6
Cartesian
-4.1954 -3.1863 4.8754
-1.1552 -4.5449 5.4344
-1.9234 -1.5291 6.7443
0.0469 -2.0950 4.8508
-2.9933 -0.7364 4.2918
-2.2251 -3.7522 2.9819
0.5887 -0.2656 2.7995
-3.5816 -2.6586 8.6996
-1.7936 -5.1995 8.0825
-4.7372 -5.0157 6.9268
-0.5669 -2.6227 1.0267
-2.3549 -0.0818 1.6438
0.0000 0.0000 0.0000
-3.3963 -5.7017 4.5260
-4.2289 -2.0847 2.3571
0.3949 -4.1741 3.1948
-0.7522 0.4204 5.2003
0.0804 -3.1966 7.3691
-4.5434 -1.1072 6.5314
```

---

Entry b
DFT (PBE) results for a relaxed Li12CdAu6 crystal.

* ρ: 7.26 g cm⁻³
* magnetic moment: 0.000 μB/atom
* space group: R-3

Structure (POSCAR):
```
Li12CdAu6
1.0
-6.6573 -2.3160 -1.6790
4.6620 -3.7037 -4.1293
1.2568 -1.8962 6.8795
Li Cd Au
12 1 6
Cartesian
-1.4226 -2.8814 2.3841
1.9607 -3.4583 0.4534
-1.4475 -3.4072 -1.5185
0.6840 -5.0345 -1.3129
-2.6993 -4.4576 0.6178
0.7090 -4.5087 2.5897
-0.1812 -2.7319 4.6997
3.3324 -4.6921 2.6891
-4.0681 -3.9845 2.8151
-0.5574 -5.1840 -3.6285
-4.0709 -3.2239 -1.6179
3.3296 -3.9314 -1.7439
0.0000 0.0000 0.0000
1.1122 -1.8210 2.3208
-1.6783 -5.5460 2.9258
1.8671 -6.1733 0.7345
-1.8508 -6.0949 -1.2496
0.9398 -2.3700 -1.8546
-2.6056 -1.7427 0.3367
```

---

Top of the stability list: entry a, leading by 2.4 kJ/mol of atoms.

---

Entry a
DFT (PBE) results for a relaxed LiCd4Au crystal.

* ρ: 9.10 g cm⁻³
* magnetic moment: 0.000 μB/atom
* space group: C2/m

Structure (POSCAR):
```
LiCd4Au
1.0
5.0603 -1.2945 -3.6221
-3.3737 5.0589 1.8514
-2.3752 1.7557 7.1603
Li Cd Au
1 4 1
Cartesian
-2.8745 3.4073 4.5058
-0.4680 2.8733 -0.0274
-0.2205 2.6468 5.4170
-0.0085 1.2493 2.6480
-0.6801 4.2707 2.7416
0.0000 0.0000 0.0000
```

---

Entry b
DFT (PBE) results for a relaxed LiCd4Au crystal.

* ρ: 8.46 g cm⁻³
* magnetic moment: 0.000 μB/atom
* space group: F-43m

Structure (POSCAR):
```
LiCd4Au
1.0
-4.7048 -1.5065 -2.7656
-4.6884 3.1385 0.4712
-1.8039 3.0724 -4.3999
Li Cd Au
1 4 1
Cartesian
-8.3978 3.5283 -5.0207
-6.5521 1.0098 -3.8936
-5.1004 3.3012 -4.7114
-6.5439 3.3342 -2.2738
-4.1977 1.7637 -2.5096
0.0000 0.0000 0.0000
```

---

Top of the stability list: entry a, leading by 16.7 kJ/mol of atoms.